Record 1
! MgCoTc2 PBE relaxed; values from VASP
! SG: Pmmm (47)
! Formation enthalpy at 0 K: 0.27 eV/atom
&SYSTEM
  ibrav = 0, nat = 4, ntyp = 3
/
ATOMIC_SPECIES
Mg 24.30 Mg.upf
Co 58.93 Co.upf
Tc 98.00 Tc.upf
CELL_PARAMETERS angstrom
2.687 0.000 0.000
0.000 4.118 0.000
0.000 0.000 5.107
ATOMIC_POSITIONS crystal
Mg 0.000 0.000 0.000
Co 0.000 0.000 0.500
Tc 0.500 0.500 0.264
Tc 0.500 0.500 0.736


Record 2
! MgCoTc2 PBE relaxed; values from VASP
! SG: I-42d (122)
! Formation enthalpy at 0 K: 0.58 eV/atom
&SYSTEM
  ibrav = 0, nat = 8, ntyp = 3
/
ATOMIC_SPECIES
Mg 24.30 Mg.upf
Co 58.93 Co.upf
Tc 98.00 Tc.upf
CELL_PARAMETERS angstrom
-3.575 3.575 2.441
3.575 -3.575 2.441
3.575 3.575 -2.441
ATOMIC_POSITIONS crystal
Mg 0.000 0.000 0.000
Mg 0.750 0.250 0.500
Co 0.250 0.750 0.500
Co 0.500 0.500 0.000
Tc 0.181 0.625 0.056
Tc 0.375 0.431 0.556
Tc 0.569 0.125 0.944
Tc 0.875 0.819 0.444


Record 3
! MgCoTc2 PBE relaxed; values from VASP
! SG: Pm (6)
! Formation enthalpy at 0 K: 0.22 eV/atom
&SYSTEM
  ibrav = 0, nat = 4, ntyp = 3
/
ATOMIC_SPECIES
Mg 24.30 Mg.upf
Co 58.93 Co.upf
Tc 98.00 Tc.upf
CELL_PARAMETERS angstrom
2.647 0.000 0.000
0.000 4.298 0.000
-0.808 0.000 5.021
ATOMIC_POSITIONS crystal
Mg 0.000 0.000 0.000
Co 0.228 0.500 0.764
Tc 0.505 0.000 0.505
Tc 0.686 0.500 0.274


Record 4
! ThMgCoTc PBE relaxed; values from VASP
! SG: F-43m (216)
! Formation enthalpy at 0 K: 0.04 eV/atom
&SYSTEM
  ibrav = 0, nat = 4, ntyp = 4
/
ATOMIC_SPECIES
Th 232.04 Th.upf
Mg 24.30 Mg.upf
Co 58.93 Co.upf
Tc 98.00 Tc.upf
CELL_PARAMETERS angstrom
0.000 3.297 3.297
3.297 0.000 3.297
3.297 3.297 0.000
ATOMIC_POSITIONS crystal
Th 0.000 0.000 0.000
Mg 0.500 0.500 0.500
Co 0.250 0.250 0.250
Tc 0.750 0.750 0.750


Record 5
! MgVCoTc PBE relaxed; values from VASP
! SG: F-43m (216)
! Formation enthalpy at 0 K: 0.05 eV/atom
&SYSTEM
  ibrav = 0, nat = 4, ntyp = 4
/
ATOMIC_SPECIES
Mg 24.30 Mg.upf
V 50.94 V.upf
Co 58.93 Co.upf
Tc 98.00 Tc.upf
CELL_PARAMETERS angstrom
0.000 3.003 3.003
3.003 0.000 3.003
3.003 3.003 0.000
ATOMIC_POSITIONS crystal
Mg 0.000 0.000 0.000
V 0.500 0.500 0.500
Co 0.250 0.250 0.250
Tc 0.750 0.750 0.750


Record 6
! MgCoTe2 PBE relaxed; values from VASP
! SG: Pm (6)
! Uncorrected formation energy: -0.211 eV/atom
&SYSTEM
  ibrav = 0, nat = 4, ntyp = 3
/
ATOMIC_SPECIES
Mg 24.30 Mg.upf
Co 58.93 Co.upf
Te 127.60 Te.upf
CELL_PARAMETERS angstrom
4.103 0.000 0.000
0.000 4.273 0.000
-0.014 0.000 5.893
ATOMIC_POSITIONS crystal
Mg 0.000 0.000 0.000
Co 0.999 0.500 0.702
Te 0.500 0.500 0.956
Te 0.998 0.000 0.487


Record 7
! MgCoTe2 PBE relaxed; values from VASP
! SG: R-3m (166)
! Uncorrected formation energy: -0.070 eV/atom
&SYSTEM
  ibrav = 0, nat = 4, ntyp = 3
/
ATOMIC_SPECIES
Mg 24.30 Mg.upf
Co 58.93 Co.upf
Te 127.60 Te.upf
CELL_PARAMETERS angstrom
1.888 1.090 8.422
-1.888 1.090 8.422
0.000 -2.180 8.422
ATOMIC_POSITIONS crystal
Mg 0.000 0.000 0.000
Co 0.500 0.500 0.500
Te 0.114 0.114 0.114
Te 0.886 0.886 0.886


Record 8
! MgCoTe2 PBE relaxed; values from VASP
! SG: P2/m (10)
! Uncorrected formation energy: -0.159 eV/atom
&SYSTEM
  ibrav = 0, nat = 4, ntyp = 3
/
ATOMIC_SPECIES
Mg 24.30 Mg.upf
Co 58.93 Co.upf
Te 127.60 Te.upf
CELL_PARAMETERS angstrom
5.060 0.000 0.000
0.000 3.866 0.000
-2.219 0.000 6.110
ATOMIC_POSITIONS crystal
Mg 0.000 0.000 0.000
Co 0.500 0.000 0.000
Te 0.272 0.500 0.760
Te 0.728 0.500 0.240


Record 9
! MgCoTe2 PBE relaxed; values from VASP
! SG: C2/m (12)
! Uncorrected formation energy: 0.136 eV/atom
&SYSTEM
  ibrav = 0, nat = 4, ntyp = 3
/
ATOMIC_SPECIES
Mg 24.30 Mg.upf
Co 58.93 Co.upf
Te 127.60 Te.upf
CELL_PARAMETERS angstrom
3.253 -3.905 0.000
3.253 3.905 0.000
-1.774 0.000 3.728
ATOMIC_POSITIONS crystal
Mg 0.000 0.000 0.000
Co 0.500 0.500 0.000
Te 0.000 0.500 0.500
Te 0.500 0.000 0.500


Record 10
! MgCo4Te PBE relaxed; values from VASP
! SG: F-43m (216)
! Uncorrected formation energy: 0.162 eV/atom
&SYSTEM
  ibrav = 0, nat = 6, ntyp = 3
/
ATOMIC_SPECIES
Mg 24.30 Mg.upf
Co 58.93 Co.upf
Te 127.60 Te.upf
CELL_PARAMETERS angstrom
0.000 3.485 3.485
3.485 0.000 3.485
3.485 3.485 0.000
ATOMIC_POSITIONS crystal
Mg 0.000 0.000 0.000
Co 0.374 0.374 0.374
Co 0.374 0.374 0.877
Co 0.374 0.877 0.374
Co 0.877 0.374 0.374
Te 0.750 0.750 0.750


Record 11
! MgCoTe2 PBE relaxed; values from VASP
! SG: P4mm (99)
! Uncorrected formation energy: -0.132 eV/atom
&SYSTEM
  ibrav = 0, nat = 4, ntyp = 3
/
ATOMIC_SPECIES
Mg 24.30 Mg.upf
Co 58.93 Co.upf
Te 127.60 Te.upf
CELL_PARAMETERS angstrom
4.024 0.000 0.000
0.000 4.024 0.000
0.000 0.000 5.673
ATOMIC_POSITIONS crystal
Mg 0.000 0.000 0.000
Co 0.500 0.500 0.501
Te 0.000 0.000 0.501
Te 0.500 0.500 0.002


Record 12
! MgCoTe2 PBE relaxed; values from VASP
! SG: F-43m (216)
! Uncorrected formation energy: 0.504 eV/atom
&SYSTEM
  ibrav = 0, nat = 4, ntyp = 3
/
ATOMIC_SPECIES
Mg 24.30 Mg.upf
Co 58.93 Co.upf
Te 127.60 Te.upf
CELL_PARAMETERS angstrom
0.000 3.554 3.554
3.554 0.000 3.554
3.554 3.554 0.000
ATOMIC_POSITIONS crystal
Mg 0.000 0.000 0.000
Co 0.250 0.250 0.250
Te 0.500 0.500 0.500
Te 0.750 0.750 0.750


Record 13
! MgCoTe2 PBE relaxed; values from VASP
! SG: P4/mmm (123)
! Uncorrected formation energy: 0.173 eV/atom
&SYSTEM
  ibrav = 0, nat = 4, ntyp = 3
/
ATOMIC_SPECIES
Mg 24.30 Mg.upf
Co 58.93 Co.upf
Te 127.60 Te.upf
CELL_PARAMETERS angstrom
3.407 0.000 0.000
0.000 3.407 0.000
0.000 0.000 7.336
ATOMIC_POSITIONS crystal
Mg 0.000 0.000 0.000
Co 0.000 0.000 0.500
Te 0.500 0.500 0.280
Te 0.500 0.500 0.720


Record 14
! MgCoTe2 PBE relaxed; values from VASP
! SG: I-4m2 (119)
! Uncorrected formation energy: 0.180 eV/atom
&SYSTEM
  ibrav = 0, nat = 4, ntyp = 3
/
ATOMIC_SPECIES
Mg 24.30 Mg.upf
Co 58.93 Co.upf
Te 127.60 Te.upf
CELL_PARAMETERS angstrom
-1.956 1.956 6.428
1.956 -1.956 6.428
1.956 1.956 -6.428
ATOMIC_POSITIONS crystal
Mg 0.000 0.000 0.000
Co 0.750 0.250 0.500
Te 0.250 0.750 0.500
Te 0.500 0.500 0.000


Record 15
! MgCoTe2 PBE relaxed; values from VASP
! SG: P4mm (99)
! Uncorrected formation energy: -0.053 eV/atom
&SYSTEM
  ibrav = 0, nat = 4, ntyp = 3
/
ATOMIC_SPECIES
Mg 24.30 Mg.upf
Co 58.93 Co.upf
Te 127.60 Te.upf
CELL_PARAMETERS angstrom
3.378 0.000 0.000
0.000 3.378 0.000
0.000 0.000 8.199
ATOMIC_POSITIONS crystal
Mg 0.000 0.000 0.000
Co 0.500 0.500 0.784
Te 0.000 0.000 0.652
Te 0.500 0.500 0.213


Record 16
! MgCoTe2 PBE relaxed; values from VASP
! SG: R-3m (166)
! Uncorrected formation energy: -0.230 eV/atom
&SYSTEM
  ibrav = 0, nat = 4, ntyp = 3
/
ATOMIC_SPECIES
Mg 24.30 Mg.upf
Co 58.93 Co.upf
Te 127.60 Te.upf
CELL_PARAMETERS angstrom
1.965 1.134 6.615
-1.965 1.134 6.615
0.000 -2.269 6.615
ATOMIC_POSITIONS crystal
Mg 0.000 0.000 0.000
Co 0.500 0.500 0.500
Te 0.234 0.234 0.234
Te 0.766 0.766 0.766


Record 17
! MgCoTe2 PBE relaxed; values from VASP
! SG: Immm (71)
! Uncorrected formation energy: -0.217 eV/atom
&SYSTEM
  ibrav = 0, nat = 4, ntyp = 3
/
ATOMIC_SPECIES
Mg 24.30 Mg.upf
Co 58.93 Co.upf
Te 127.60 Te.upf
CELL_PARAMETERS angstrom
-1.856 2.266 6.372
1.856 -2.266 6.372
1.856 2.266 -6.372
ATOMIC_POSITIONS crystal
Mg 0.000 0.000 0.000
Co 0.500 0.500 0.000
Te 0.362 0.862 0.500
Te 0.638 0.138 0.500


Record 18
! MgCoTe4 PBE relaxed; values from VASP
! SG: F-43m (216)
! Uncorrected formation energy: 0.782 eV/atom
&SYSTEM
  ibrav = 0, nat = 6, ntyp = 3
/
ATOMIC_SPECIES
Mg 24.30 Mg.upf
Co 58.93 Co.upf
Te 127.60 Te.upf
CELL_PARAMETERS angstrom
0.000 4.472 4.472
4.472 0.000 4.472
4.472 4.472 0.000
ATOMIC_POSITIONS crystal
Mg 0.000 0.000 0.000
Co 0.250 0.250 0.250
Te 0.127 0.624 0.624
Te 0.624 0.127 0.624
Te 0.624 0.624 0.127
Te 0.624 0.624 0.624


Record 19
! MgCoTe2 PBE relaxed; values from VASP
! SG: I-42d (122)
! Uncorrected formation energy: -0.216 eV/atom
&SYSTEM
  ibrav = 0, nat = 8, ntyp = 3
/
ATOMIC_SPECIES
Mg 24.30 Mg.upf
Co 58.93 Co.upf
Te 127.60 Te.upf
CELL_PARAMETERS angstrom
-3.123 3.123 6.165
3.123 -3.123 6.165
3.123 3.123 -6.165
ATOMIC_POSITIONS crystal
Mg 0.000 0.000 0.000
Mg 0.750 0.250 0.500
Co 0.250 0.750 0.500
Co 0.500 0.500 0.000
Te 0.159 0.625 0.034
Te 0.375 0.409 0.534
Te 0.591 0.125 0.966
Te 0.875 0.841 0.466


Record 20
! MgTiCoTe2 PBE relaxed; values from VASP
! SG: P4/mmm (123)
! Uncorrected formation energy: 0.899 eV/atom
&SYSTEM
  ibrav = 0, nat = 5, ntyp = 4
/
ATOMIC_SPECIES
Mg 24.30 Mg.upf
Ti 47.87 Ti.upf
Co 58.93 Co.upf
Te 127.60 Te.upf
CELL_PARAMETERS angstrom
5.254 0.000 0.000
0.000 5.254 0.000
0.000 0.000 4.350
ATOMIC_POSITIONS crystal
Mg 0.000 0.000 0.000
Ti 0.500 0.500 0.500
Co 0.000 0.000 0.500
Te 0.000 0.500 0.000
Te 0.500 0.000 0.000


Record 21
! MgVCoTe2 PBE relaxed; values from VASP
! SG: P4/mmm (123)
! Uncorrected formation energy: 1.309 eV/atom
&SYSTEM
  ibrav = 0, nat = 5, ntyp = 4
/
ATOMIC_SPECIES
Mg 24.30 Mg.upf
V 50.94 V.upf
Co 58.93 Co.upf
Te 127.60 Te.upf
CELL_PARAMETERS angstrom
5.331 0.000 0.000
0.000 5.331 0.000
0.000 0.000 4.927
ATOMIC_POSITIONS crystal
Mg 0.000 0.000 0.000
V 0.000 0.000 0.500
Co 0.500 0.500 0.500
Te 0.000 0.500 0.000
Te 0.500 0.000 0.000


Record 22
! MgCo2TeW PBE relaxed; values from VASP
! SG: P4/mmm (123)
! Uncorrected formation energy: 1.715 eV/atom
&SYSTEM
  ibrav = 0, nat = 5, ntyp = 4
/
ATOMIC_SPECIES
Mg 24.30 Mg.upf
Co 58.93 Co.upf
Te 127.60 Te.upf
W 183.84 W.upf
CELL_PARAMETERS angstrom
4.569 0.000 0.000
0.000 4.569 0.000
0.000 0.000 5.016
ATOMIC_POSITIONS crystal
Mg 0.000 0.000 0.000
Co 0.000 0.500 0.500
Co 0.500 0.000 0.500
Te 0.000 0.000 0.500
W 0.500 0.500 0.000


Record 23
! Y2MgCoTe PBE relaxed; values from VASP
! SG: P4/mmm (123)
! Uncorrected formation energy: 0.593 eV/atom
&SYSTEM
  ibrav = 0, nat = 5, ntyp = 4
/
ATOMIC_SPECIES
Y 88.91 Y.upf
Mg 24.30 Mg.upf
Co 58.93 Co.upf
Te 127.60 Te.upf
CELL_PARAMETERS angstrom
5.654 0.000 0.000
0.000 5.654 0.000
0.000 0.000 5.115
ATOMIC_POSITIONS crystal
Y 0.000 0.500 0.000
Y 0.500 0.000 0.000
Mg 0.000 0.000 0.500
Co 0.500 0.500 0.500
Te 0.000 0.000 0.000


Record 24
! ThMgCo PBE relaxed; values from VASP
! SG: P2_1/m (11)
! Formation enthalpy at 0 K: -0.08 eV/atom
&SYSTEM
  ibrav = 0, nat = 6, ntyp = 3
/
ATOMIC_SPECIES
Th 232.04 Th.upf
Mg 24.30 Mg.upf
Co 58.93 Co.upf
CELL_PARAMETERS angstrom
3.880 0.000 0.000
0.000 5.276 0.000
-1.916 0.000 6.851
ATOMIC_POSITIONS crystal
Th 0.179 0.250 0.359
Th 0.821 0.750 0.641
Mg 0.440 0.250 0.888
Mg 0.560 0.750 0.112
Co 0.180 0.750 0.354
Co 0.820 0.250 0.646


Record 25
! ThMgCo PBE relaxed; values from VASP
! SG: C2/m (12)
! Formation enthalpy at 0 K: -0.17 eV/atom
&SYSTEM
  ibrav = 0, nat = 6, ntyp = 3
/
ATOMIC_SPECIES
Th 232.04 Th.upf
Mg 24.30 Mg.upf
Co 58.93 Co.upf
CELL_PARAMETERS angstrom
5.913 -2.265 0.000
5.913 2.265 0.000
-1.012 0.000 4.871
ATOMIC_POSITIONS crystal
Th 0.141 0.141 0.306
Th 0.859 0.859 0.694
Mg 0.411 0.411 0.206
Mg 0.589 0.589 0.794
Co 0.211 0.211 0.828
Co 0.789 0.789 0.172


Record 26
! Th2Mg2Co15 PBE relaxed; values from VASP
! SG: R-3m (166)
! Formation enthalpy at 0 K: -0.08 eV/atom
&SYSTEM
  ibrav = 0, nat = 19, ntyp = 3
/
ATOMIC_SPECIES
Th 232.04 Th.upf
Mg 24.30 Mg.upf
Co 58.93 Co.upf
CELL_PARAMETERS angstrom
4.233 2.444 4.122
-4.233 2.444 4.122
0.000 -4.888 4.122
ATOMIC_POSITIONS crystal
Th 0.147 0.147 0.147
Th 0.853 0.853 0.853
Mg 0.396 0.396 0.396
Mg 0.604 0.604 0.604
Co 0.000 0.500 0.500
Co 0.149 0.149 0.653
Co 0.149 0.653 0.149
Co 0.210 0.500 0.790
Co 0.210 0.790 0.500
Co 0.347 0.851 0.851
Co 0.500 0.000 0.500
Co 0.500 0.210 0.790
Co 0.500 0.500 0.000
Co 0.500 0.790 0.210
Co 0.653 0.149 0.149
Co 0.790 0.210 0.500
Co 0.790 0.500 0.210
Co 0.851 0.347 0.851
Co 0.851 0.851 0.347


Record 27
! ThMgCo PBE relaxed; values from VASP
! SG: P4/nmm (129)
! Formation enthalpy at 0 K: -0.15 eV/atom
&SYSTEM
  ibrav = 0, nat = 6, ntyp = 3
/
ATOMIC_SPECIES
Th 232.04 Th.upf
Mg 24.30 Mg.upf
Co 58.93 Co.upf
CELL_PARAMETERS angstrom
3.762 0.000 0.000
0.000 3.762 0.000
0.000 0.000 9.991
ATOMIC_POSITIONS crystal
Th 0.250 0.250 0.144
Th 0.750 0.750 0.856
Mg 0.250 0.250 0.594
Mg 0.750 0.750 0.406
Co 0.250 0.250 0.850
Co 0.750 0.750 0.150


Record 28
! Th3MgCo PBE relaxed; values from VASP
! SG: Pm-3m (221)
! Formation enthalpy at 0 K: 0.01 eV/atom
&SYSTEM
  ibrav = 0, nat = 5, ntyp = 3
/
ATOMIC_SPECIES
Th 232.04 Th.upf
Mg 24.30 Mg.upf
Co 58.93 Co.upf
CELL_PARAMETERS angstrom
5.301 0.000 0.000
0.000 5.301 0.000
0.000 0.000 5.301
ATOMIC_POSITIONS crystal
Th 0.000 0.000 0.500
Th 0.000 0.500 0.000
Th 0.500 0.000 0.000
Mg 0.500 0.500 0.500
Co 0.000 0.000 0.000


For reference, DOS(E_F) by record: 0.926; 1.038; 1.119; 0.873; 1.041; 0.896; 1.169; 0.561; 0.806; 1.271; 1.734; 1.136; 0.930; 1.128; 0.545; 0.496; 0.940; 0.728; 0.580; 1.844; 2.067; 1.327; 1.313; 0.566; 0.724; 1.299; 0.645; 1.458 states/eV per atom.